VASP calculation (PBE-GGA) on crystalline Mn2InNiH at its relaxed geometry.

```
Mn2InNiH
1.0
-0.061 -0.513 -3.849
3.800 -0.798 0.046
-0.800 -3.778 0.516
H Ni Mn In
1 1 2 1
direct
0.000 0.000 0.000 H
0.000 0.000 0.500 Ni
0.500 0.000 0.000 Mn
0.000 0.500 0.000 Mn
0.500 0.500 0.500 In
```

Summary:
For the total energy, the calculation gives -6.03 eV per atom. The size of the total moment comes out at 6.00 μB per formula unit. As for the density: 8.0 g/cm3.



VASP calculation (PBE-GGA) on crystalline MnIn2HPd at its relaxed geometry.

```
MnIn2HPd
1.0
-4.531 -2.614 -1.086
1.733 -2.517 -1.170
0.099 -2.195 4.870
In H Pd Mn
2 1 1 1
direct
0.000 0.000 0.500 In
0.500 0.000 0.000 In
0.000 0.500 0.000 H
0.000 0.000 0.000 Pd
0.500 0.500 0.500 Mn
```

Summary:
For the total energy, the calculation gives -4.41 eV per atom. The size of the total moment comes out at 3.90 μB per formula unit. As for the density: 7.0 g/cm3.



VASP calculation (PBE-GGA) on crystalline ScMnIn2H at its relaxed geometry.

```
ScMnIn2H
1.0
5.068 0.000 0.000
0.000 4.558 0.000
0.000 0.000 5.068
In Mn H Sc
2 1 1 1
direct
0.000 0.000 0.500 In
0.500 0.000 0.000 In
0.000 0.000 0.000 Mn
0.500 0.500 0.500 H
0.000 0.500 0.000 Sc
```

Summary:
For the total energy, the calculation gives -4.31 eV per atom. The size of the total moment comes out at 1.27 μB per formula unit. As for the density: 4.7 g/cm3.



VASP calculation (PBE-GGA) on crystalline Ti2MnInH at its relaxed geometry.

```
Ti2MnInH
1.0
-3.501 -1.268 -2.049
-1.808 -1.006 3.713
-1.402 3.459 0.255
Mn H In Ti
1 1 1 2
direct
0.000 0.000 0.500 Mn
0.000 0.000 0.000 H
0.500 0.500 0.500 In
0.500 0.000 0.000 Ti
0.000 0.500 0.000 Ti
```

Summary:
For the total energy, the calculation gives -6.38 eV per atom. The size of the total moment comes out at 0.94 μB per formula unit. As for the density: 6.5 g/cm3.



VASP calculation (PBE-GGA) on crystalline MnZnInH2 at its relaxed geometry.

```
MnZnInH2
1.0
-2.449 2.009 -2.014
0.869 -3.487 -4.536
-2.788 -2.222 1.174
H Mn Zn In
2 1 1 1
direct
0.000 0.000 0.500 H
0.500 0.000 0.000 H
0.500 0.500 0.500 Mn
0.000 0.500 0.000 Zn
0.000 0.000 0.000 In
```

Summary:
For the total energy, the calculation gives -3.36 eV per atom. The size of the total moment comes out at 4.21 μB per formula unit. As for the density: 4.8 g/cm3.



VASP calculation (PBE-GGA) on crystalline InMoH2 at its relaxed geometry.

```
InMoH2
1.0
4.067 0.000 0.000
0.000 4.067 0.000
2.033 2.033 5.717
H In Mo
4 2 2
direct
0.375 0.519 0.750 H
0.481 0.125 0.250 H
0.875 0.731 0.750 H
0.269 0.625 0.250 H
0.750 0.250 0.500 In
0.000 0.000 0.000 In
0.250 0.750 0.500 Mo
0.500 0.500 0.000 Mo
```

Summary:
For the total energy, the calculation gives -4.67 eV per atom. The size of the total moment comes out at 0.93 μB per formula unit. As for the density: 7.5 g/cm3.